ScNiSe2 (PBE-GGA, relaxed); formation energy without anion corrections = -0.76 eV/atom; SG = R-3m (166); spin magnetization = 0.96 μB/f.u.
1.0
1.948 1.125 7.526
-1.948 1.125 7.526
0.000 -2.250 7.526
Sc Ni Se
1 1 2
direct
0.000 0.000 0.000
0.500 0.500 0.500
0.400 0.400 0.400
0.600 0.600 0.600